An optimized crystal structure of LiSiRh3. Source: Alexandria, functional PBE.

```
data_LiSiRh3
_chemical_formula_sum 'Li1 Si1 Rh3'
_cell_length_a 4.078
_cell_length_b 4.078
_cell_length_c 4.078
_cell_angle_alpha 90.00
_cell_angle_beta 90.00
_cell_angle_gamma 90.00
_symmetry_space_group_name_H-M 'P 1'
_symmetry_Int_Tables_number 1
loop_
_symmetry_equiv_pos_as_xyz
'x,y,z'
loop_
_atom_site_label
_atom_site_type_symbol
_atom_site_fract_x
_atom_site_fract_y
_atom_site_fract_z
Li1 Li 0.000 0.000 0.000
Si1 Si 0.500 0.500 0.500
Rh1 Rh 0.000 0.000 0.500
Rh2 Rh 0.000 0.500 0.000
Rh3 Rh 0.500 0.000 0.000
```

Energy relative to the elements, uncorrected, eV per atom: 0.4758
E above lowest polymorph, meV per atom: 377

***

An optimized crystal structure of Li4Ho3PuTe8. Source: Alexandria, functional PBE.

```
data_Li4Ho3PuTe8
_chemical_formula_sum 'Li4 Ho3 Pu1 Te8'
_cell_length_a 8.651
_cell_length_b 8.651
_cell_length_c 8.651
_cell_angle_alpha 60.34
_cell_angle_beta 60.34
_cell_angle_gamma 60.34
_symmetry_space_group_name_H-M 'P 1'
_symmetry_Int_Tables_number 1
loop_
_symmetry_equiv_pos_as_xyz
'x,y,z'
loop_
_atom_site_label
_atom_site_type_symbol
_atom_site_fract_x
_atom_site_fract_y
_atom_site_fract_z
Li1 Li 0.000 0.000 0.000
Li2 Li 0.000 0.500 0.500
Li3 Li 0.500 0.000 0.500
Li4 Li 0.500 0.500 0.000
Ho1 Ho 0.000 0.000 0.500
Ho2 Ho 0.000 0.500 0.000
Ho3 Ho 0.500 0.000 0.000
Pu1 Pu 0.500 0.500 0.500
Te1 Te 0.246 0.246 0.753
Te2 Te 0.246 0.753 0.246
Te3 Te 0.247 0.754 0.754
Te4 Te 0.251 0.251 0.251
Te5 Te 0.749 0.749 0.749
Te6 Te 0.753 0.246 0.246
Te7 Te 0.754 0.247 0.754
Te8 Te 0.754 0.754 0.247
```

Energy relative to the elements, uncorrected, eV per atom: -1.2090

***

An optimized crystal structure of MoPt2. Source: Alexandria, functional PBE.

```
data_MoPt2
_chemical_formula_sum 'Mo1 Pt2'
_cell_length_a 4.563
_cell_length_b 4.563
_cell_length_c 2.749
_cell_angle_alpha 90.00
_cell_angle_beta 90.00
_cell_angle_gamma 90.00
_symmetry_space_group_name_H-M 'P 1'
_symmetry_Int_Tables_number 1
loop_
_symmetry_equiv_pos_as_xyz
'x,y,z'
loop_
_atom_site_label
_atom_site_type_symbol
_atom_site_fract_x
_atom_site_fract_y
_atom_site_fract_z
Mo1 Mo 0.000 0.000 0.000
Pt1 Pt 0.000 0.500 0.500
Pt2 Pt 0.500 0.000 0.500
```

E above lowest polymorph, meV per atom: 748

***

An optimized crystal structure of MnBeN2. Source: Alexandria, functional PBE.

```
data_MnBeN2
_chemical_formula_sum 'Mn1 Be1 N2'
_cell_length_a 5.483
_cell_length_b 5.483
_cell_length_c 5.483
_cell_angle_alpha 29.70
_cell_angle_beta 29.70
_cell_angle_gamma 29.70
_symmetry_space_group_name_H-M 'P 1'
_symmetry_Int_Tables_number 1
loop_
_symmetry_equiv_pos_as_xyz
'x,y,z'
loop_
_atom_site_label
_atom_site_type_symbol
_atom_site_fract_x
_atom_site_fract_y
_atom_site_fract_z
Mn1 Mn 0.000 0.000 0.000
Be1 Be 0.500 0.500 0.500
N1 N 0.109 0.109 0.109
N2 N 0.891 0.891 0.891
```

Energy relative to the elements, uncorrected, eV per atom: 0.5122